This record from Alexandria describes an optimized crystal structure of Cu2Hg2Pd. The functional is PBE.

As for the relative energy among the computed polymorphs: 0.0799 eV per atom. The value obtained for the total energy is -26.16 eV per cell. The energy of formation from the pure elements comes out at 0.182 eV per atom.

Cell: 7.626 7.626 2.980 Å, 90.00 90.00 90.00°
Sites, in units of the cell vectors:
Cu1 0.126 0.374 0.000
Cu2 0.374 0.874 0.000
Cu3 0.626 0.126 0.000
Cu4 0.874 0.626 0.000
Hg1 0.171 0.671 0.500
Hg2 0.329 0.171 0.500
Hg3 0.671 0.829 0.500
Hg4 0.829 0.329 0.500
Pd1 0.000 0.000 0.500
Pd2 0.500 0.500 0.500